Entry 1:
A relaxed structure of LaTm2Ga8, computed with PBE.

Cell: 5.3251 5.8722 8.2263 Å, 110.94 108.91 89.93°
Positions (direct):
Tm 0.6879 0.6879 0.3759
Tm 0.3121 0.3121 0.6241
Ga 0.1211 0.3560 0.2415
Ga 0.8796 0.1145 0.7585
Ga 0.7392 0.4995 0.0000
Ga 0.7178 0.2178 0.4355
Ga 0.2822 0.7822 0.5645
Ga 0.2608 0.5005 0.0000
Ga 0.1204 0.8855 0.2415
Ga 0.8789 0.6440 0.7585
La 0.5000 0.0000 0.0000

Calculated values
Energy of formation ... -0.483 eV per atom

Entry 2:
A relaxed structure of SrGdHgPd, computed with PBE.

Cell: 5.2924 5.2924 5.2924 Å, 60.00 60.00 60.00°
Positions (direct):
Sr 0.7500 0.7500 0.7500
Gd 0.2500 0.2500 0.2500
Hg 0.5000 0.5000 0.5000
Pd 0.0000 0.0000 0.0000

Calculated values
Energy of formation ... -0.512 eV per atom

Entry 3:
A relaxed structure of MgV3W, computed with PBE.

Cell: 4.3813 4.3813 4.3813 Å, 90.00 90.00 90.00°
Positions (direct):
Mg 0.0000 0.0000 0.0000
W 0.5000 0.5000 0.5000
V 0.0000 0.5000 0.0000
V 0.0000 0.0000 0.5000
V 0.5000 0.0000 0.0000

Calculated values
Energy relative to the lowest polymorph listed for this composition ... 800.1 meV per atom
Energy of formation ... 1.991 eV per atom

Entry 4:
A relaxed structure of GaFeBi2Se, computed with PBE.

Cell: 5.4941 4.5338 5.4941 Å, 90.00 90.00 90.00°
Positions (direct):
Ga 0.0000 0.0000 0.0000
Bi 0.0000 0.0000 0.5000
Bi 0.5000 0.0000 0.0000
Se 0.5000 0.5000 0.5000
Fe 0.0000 0.5000 0.0000

Calculated values
E_form (uncorrected) ... 0.913 eV per atom

Entry 5:
A relaxed structure of V2GaHW, computed with PBE.

Cell: 3.8795 3.8795 3.9499 Å, 90.00 90.00 90.00°
Positions (direct):
H 0.0000 0.0000 0.0000
Ga 0.5000 0.5000 0.5000
W 0.0000 0.0000 0.5000
V 0.0000 0.5000 0.0000
V 0.5000 0.0000 0.0000

Calculated values
Energy relative to the lowest polymorph listed for this composition ... 0.0 meV per atom

Entry 6:
A relaxed structure of Pr2Al3Cu4Hg, computed with PBE.

Cell: 4.2992 4.2992 10.4141 Å, 90.00 90.00 90.00°
Positions (direct):
Pr 0.5000 0.0000 0.2378
Pr 0.0000 0.5000 0.7622
Al 0.0000 0.0000 0.5000
Al 0.5000 0.0000 0.8814
Al 0.0000 0.5000 0.1186
Cu 0.5000 0.5000 0.0000
Cu 0.0000 0.0000 0.0000
Cu 0.5000 0.0000 0.6471
Cu 0.0000 0.5000 0.3529
Hg 0.5000 0.5000 0.5000

Calculated values
Energy of formation ... -0.312 eV per atom

Entry 7:
A relaxed structure of TbSm2In4, computed with PBE.

Cell: 8.5382 7.1726 10.3624 Å, 133.94 111.71 85.47°
Positions (direct):
Tb 0.1294 0.6437 0.5209
Tb 0.1772 0.2841 0.0445
Sm 0.6220 0.4720 0.7672
Sm 0.6255 0.8670 0.2699
Sm 0.6165 0.3326 0.2617
Sm 0.0930 0.1005 0.4995
In 0.9158 0.0253 0.1158
In 0.4256 0.8328 0.4657
In 0.9145 0.6149 0.7075
In 0.8369 0.0008 0.6602
In 0.3175 0.1667 0.3262
In 0.4243 0.2410 0.8713
In 0.3160 0.7398 0.9024
In 0.8361 0.4287 0.0873

Calculated values
Energy relative to the lowest polymorph listed for this composition ... 0.0 meV per atom
Energy of formation ... -0.355 eV per atom

Entry 8:
A relaxed structure of SrCaTi2As, computed with PBE.

Cell: 4.9763 5.8744 4.9763 Å, 90.00 90.00 90.00°
Positions (direct):
Sr 0.0000 0.5000 0.0000
As 0.0000 0.0000 0.0000
Ca 0.5000 0.5000 0.5000
Ti 0.0000 0.0000 0.5000
Ti 0.5000 0.0000 0.0000

Calculated values
Energy of formation ... 0.120 eV per atom